DFT (PBEsol) results for a relaxed structure of FeSbPt2. Values from VASP.

Calculated values
* N(E_F): 3.9 states/eV/f.u.
* size of the total moment: 3.25 μB/f.u.
* space group: Cm
* formation energy without anion corrections: -0.15 eV/f.u.

The structure in Quantum ESPRESSO input format:
```
&SYSTEM
  ibrav = 0, nat = 4, ntyp = 3
/
ATOMIC_SPECIES
Fe 55.84 Fe.upf
Pt 195.08 Pt.upf
Sb 121.76 Sb.upf
ATOMIC_POSITIONS crystal
Fe 0.740 0.204 0.479
Pt 0.004 0.042 0.007
Pt 0.251 0.735 0.502
Sb 0.506 0.519 0.011
CELL_PARAMETERS angstrom
3.694 0.000 0.000
0.000 4.253 -0.209
-1.847 -1.174 4.147
```